Compound: ZrB2Ir
Source: the Alexandria database
Functional: PBE-GGA
Structure: relaxed

Values from the calculation:
SG = Fm-3m
N(E_F) = 4.180 states/eV/f.u.
E = -30.67 eV for the cell shown
energy of formation = 0.02 eV per atom

abc: 4.0636 4.0636 4.0636
angles: 60.00 60.00 60.00
With the nearest neighbours (Å) after each atom.
Atoms (fractional coordinates):
Zr: 0.0000 0.0000 0.0000  8 B 2.49
B: 0.2500 0.2500 0.2500  4 Zr 2.49, 4 Ir 2.49
B: 0.7500 0.7500 0.7500  4 Zr 2.49, 4 Ir 2.49
Ir: 0.5000 0.5000 0.5000  8 B 2.49

---

Compound: Ca2FeRh
Source: the Alexandria database
Functional: PBE-GGA
Structure: relaxed

Values from the calculation:
SG = P4/mmm
N(E_F) = 5.550 states/eV/f.u.
E = -18.98 eV for the cell shown
energy of formation = 0.21 eV per atom

abc: 4.9199 4.9199 3.5017
angles: 90.00 90.00 90.00
With the nearest neighbours (Å) after each atom.
Atoms (fractional coordinates):
Ca: 0.0000 0.5000 0.0000  4 Fe 3.02, 4 Rh 3.02
Ca: 0.5000 0.0000 0.0000  4 Fe 3.02, 4 Rh 3.02
Fe: 0.0000 0.0000 0.5000  8 Ca 3.02
Rh: 0.5000 0.5000 0.5000  8 Ca 3.02

---

Compound: KCuMo2
Source: the Alexandria database
Functional: PBE-GGA
Structure: relaxed

Values from the calculation:
SG = R-3m
N(E_F) = 3.926 states/eV/f.u.
E = -22.92 eV for the cell shown
energy of formation = 0.98 eV per atom

abc: 10.9266 10.9266 10.9266
angles: 14.56 14.56 14.56
With the nearest neighbours (Å) after each atom.
Atoms (fractional coordinates):
K: 0.0000 0.0000 0.0000  6 K 2.77
Cu: 0.5000 0.5000 0.5000  6 Mo 2.75, 6 Cu 2.77
Mo: 0.2356 0.2356 0.2356  3 Cu 2.75, 6 Mo 2.77
Mo: 0.7644 0.7644 0.7644  3 Cu 2.75, 6 Mo 2.77

---

Compound: SbH3Pd
Source: the Alexandria database
Functional: PBE-GGA
Structure: relaxed

Values from the calculation:
SG = Pm-3m
N(E_F) = 0.376 states/eV/f.u.
E = -15.82 eV for the cell shown

abc: 3.9433 3.9433 3.9433
angles: 90.00 90.00 90.00
With the nearest neighbours (Å) after each atom.
Atoms (fractional coordinates):
Sb: 0.0000 0.0000 0.0000  6 H 1.97
H: 0.0000 0.0000 0.5000  2 Sb 1.97
H: 0.0000 0.5000 0.0000  2 Sb 1.97
H: 0.5000 0.0000 0.0000  2 Sb 1.97
Pd: 0.5000 0.5000 0.5000  12 H 2.79

---

Compound: CePrTlSn
Source: the Alexandria database
Functional: PBE-GGA
Structure: relaxed

Values from the calculation:
SG = F-43m
N(E_F) = 8.659 states/eV/f.u.
E = -18.85 eV for the cell shown
energy of formation = -0.44 eV per atom

abc: 5.5176 5.5176 5.5176
angles: 60.00 60.00 60.00
With the nearest neighbours (Å) after each atom.
Atoms (fractional coordinates):
Ce: 0.0000 0.0000 0.0000  4 Tl 3.38, 4 Sn 3.38
Pr: 0.5000 0.5000 0.5000  4 Tl 3.38, 4 Sn 3.38
Tl: 0.2500 0.2500 0.2500  4 Ce 3.38, 4 Pr 3.38
Sn: 0.7500 0.7500 0.7500  4 Ce 3.38, 4 Pr 3.38

---

Compound: LiHIr
Source: the Alexandria database
Functional: PBE-GGA
Structure: relaxed

Values from the calculation:
SG = P3m1
N(E_F) = 1.800 states/eV/f.u.
E = -14.66 eV for the cell shown

abc: 2.8380 2.8380 4.3480
angles: 90.00 90.00 120.00
With the nearest neighbours (Å) after each atom.
Atoms (fractional coordinates):
Li: 0.0000 0.0000 0.0000  3 H 2.15
H: 0.6667 0.3333 0.3214  3 Ir 1.83
Ir: 0.3333 0.6667 0.5080  3 H 1.83

---

Compound: Co2CuTc
Source: the Alexandria database
Functional: PBE-GGA
Structure: relaxed

Values from the calculation:
SG = R-3m
N(E_F) = 4.714 states/eV/f.u.
E = -27.95 eV for the cell shown
energy of formation = 0.18 eV per atom

abc: 8.4462 8.4462 8.4462
angles: 17.75 17.75 17.75
With the nearest neighbours (Å) after each atom.
Atoms (fractional coordinates):
Co: 0.2503 0.2503 0.2503  3 Cu 2.56, 3 Tc 2.57, 6 Co 2.61
Co: 0.7497 0.7497 0.7497  3 Cu 2.56, 3 Tc 2.57, 6 Co 2.61
Cu: 0.0000 0.0000 0.0000  6 Co 2.56, 6 Cu 2.61
Tc: 0.5000 0.5000 0.5000  6 Co 2.57, 6 Tc 2.61

---

Compound: LaPm2Hg
Source: the Alexandria database
Functional: PBE-GGA
Structure: relaxed

Values from the calculation:
SG = P4/mmm
N(E_F) = 6.030 states/eV/f.u.
E = -15.43 eV for the cell shown
energy of formation = -0.17 eV per atom

abc: 4.9546 4.9546 4.9624
angles: 90.00 90.00 90.00
With the nearest neighbours (Å) after each atom.
Atoms (fractional coordinates):
La: 0.0000 0.0000 0.0000  4 Hg 3.50, 8 Pm 3.51
Pm: 0.0000 0.5000 0.5000  4 Pm 3.50, 4 Hg 3.51, 4 La 3.51
Pm: 0.5000 0.0000 0.5000  4 Pm 3.50, 4 Hg 3.51, 4 La 3.51
Hg: 0.5000 0.5000 0.0000  4 La 3.50, 8 Pm 3.51

---

Compound: ZnGa2Pd2
Source: the Alexandria database
Functional: PBE-GGA
Structure: relaxed

Values from the calculation:
SG = P-3m1
N(E_F) = 1.316 states/eV/f.u.
E = -20.24 eV for the cell shown
energy of formation = -0.51 eV per atom

abc: 4.2911 4.2911 5.1956
angles: 90.00 90.00 120.00
With the nearest neighbours (Å) after each atom.
Atoms (fractional coordinates):
Zn: 0.0000 0.0000 0.0000  6 Pd 2.61
Ga: 0.3333 0.6667 0.6475  5 Pd 2.54-2.68
Ga: 0.6667 0.3333 0.3525  5 Pd 2.54-2.68
Pd: 0.3333 0.6667 0.1581  5 Ga 2.54-2.68, 3 Zn 2.61
Pd: 0.6667 0.3333 0.8419  5 Ga 2.54-2.68, 3 Zn 2.61

---

Compound: Pu3Th5Sb8
Source: the Alexandria database
Functional: PBE-GGA
Structure: relaxed

Values from the calculation:
SG = R-3m
N(E_F) = 42.340 states/eV/f.u.
E = -126.47 eV for the cell shown

abc: 8.9676 8.9676 8.9676
angles: 60.11 60.11 60.11
With the nearest neighbours (Å) after each atom.
Atoms (fractional coordinates):
Pu: 0.0000 0.5000 0.5000  6 Sb 3.15
Pu: 0.5000 0.0000 0.5000  6 Sb 3.15
Pu: 0.5000 0.5000 0.0000  6 Sb 3.15
Th: 0.0000 0.0000 0.0000  6 Sb 3.17
Th: 0.0000 0.0000 0.5000  6 Sb 3.19
Th: 0.0000 0.5000 0.0000  6 Sb 3.19
Th: 0.5000 0.0000 0.0000  6 Sb 3.19
Th: 0.5000 0.5000 0.5000  6 Sb 3.17
Sb: 0.2500 0.2500 0.7468  2 Pu 3.15, 4 Th 3.17-3.19
Sb: 0.2500 0.7468 0.2500  2 Pu 3.15, 4 Th 3.17-3.19
Sb: 0.2515 0.2515 0.2515  3 Pu 3.15, 3 Th 3.19
Sb: 0.2532 0.7500 0.7500  2 Pu 3.15, 4 Th 3.17-3.19
Sb: 0.7468 0.2500 0.2500  2 Pu 3.15, 4 Th 3.17-3.19
Sb: 0.7485 0.7485 0.7485  3 Pu 3.15, 3 Th 3.19
Sb: 0.7500 0.2532 0.7500  2 Pu 3.15, 4 Th 3.17-3.19
Sb: 0.7500 0.7500 0.2532  2 Pu 3.15, 4 Th 3.17-3.19

---

Compound: FeSbPd
Source: the Alexandria database
Functional: PBE-GGA
Structure: relaxed

Values from the calculation:
SG = P4/mmm
N(E_F) = 2.013 states/eV/f.u.
E = -35.35 eV for the cell shown

abc: 3.4411 3.4411 8.7592
angles: 90.00 90.00 90.00
With the nearest neighbours (Å) after each atom.
Atoms (fractional coordinates):
Fe: 0.0000 0.0000 0.1378  1 Fe 2.41
Fe: 0.0000 0.0000 0.8622  1 Fe 2.41
Sb: 0.5000 0.5000 0.3080  5 Pd 2.70-2.96, 4 Fe 2.85
Sb: 0.5000 0.5000 0.6920  5 Pd 2.70-2.96, 4 Fe 2.85
Pd: 0.0000 0.0000 0.5000  8 Sb 2.96, 2 Fe 3.17
Pd: 0.5000 0.5000 0.0000  2 Sb 2.70, 8 Fe 2.72

---

Compound: PmPr2NdHo5
Source: the Alexandria database
Functional: PBE-GGA
Structure: relaxed

Values from the calculation:
SG = I4/mcm
N(E_F) = 9.721 states/eV/f.u.
E = -79.43 eV for the cell shown
energy of formation = 0.25 eV per atom

abc: 9.9832 9.9832 9.9832
angles: 128.30 128.30 76.15
With the nearest neighbours (Å) after each atom.
Atoms (fractional coordinates):
Pm: 0.2500 0.2500 0.0000  10 Ho 3.58-3.93
Pm: 0.7500 0.7500 0.0000  10 Ho 3.58-3.93
Pr: 0.1184 0.6184 0.7369  1 Pr 2.92, 2 Ho 3.04
Pr: 0.3816 0.1184 0.5000  1 Pr 2.92, 2 Ho 3.04
Pr: 0.6184 0.8816 0.5000  1 Pr 2.92, 2 Ho 3.04
Pr: 0.8816 0.3816 0.2631  1 Pr 2.92, 2 Ho 3.04
Nd: 0.2500 0.7500 0.5000  4 Ho 3.12
Nd: 0.7500 0.2500 0.5000  4 Ho 3.12
Ho: 0.0000 0.0000 0.0000  4 Pr 3.48, 8 Ho 3.80
Ho: 0.0712 0.1517 0.5000  1 Pr 3.04, 1 Nd 3.12
Ho: 0.1517 0.6517 0.0806  1 Pr 3.04, 1 Nd 3.12
Ho: 0.3483 0.4288 0.5000  1 Pr 3.04, 1 Nd 3.12
Ho: 0.4288 0.9288 0.0806  1 Pr 3.04, 1 Nd 3.12
Ho: 0.5000 0.5000 0.0000  4 Pr 3.48, 8 Ho 3.80
Ho: 0.5712 0.0712 0.9194  1 Pr 3.04, 1 Nd 3.12
Ho: 0.6517 0.5712 0.5000  1 Pr 3.04, 1 Nd 3.12
Ho: 0.8483 0.3483 0.9194  1 Pr 3.04, 1 Nd 3.12
Ho: 0.9288 0.8483 0.5000  1 Pr 3.04, 1 Nd 3.12

---

Compound: PuThO5
Source: the Alexandria database
Functional: PBE-GGA
Structure: relaxed

Values from the calculation:
SG = C2/c
N(E_F) = 4.153 states/eV/f.u.
E = -135.82 eV for the cell shown

abc: 5.8125 5.8125 8.0185
angles: 110.09 110.09 72.12
With the nearest neighbours (Å) after each atom.
Atoms (fractional coordinates):
Pu: 0.0000 0.0000 0.0000  6 O 1.94-2.14
Pu: 0.0000 0.0000 0.5000  6 O 1.94-2.14
Th: 0.4612 0.5388 0.7500  7 O 2.32-2.55
Th: 0.5388 0.4612 0.2500  7 O 2.32-2.55
O: 0.1104 0.8896 0.7500  2 Pu 2.14
O: 0.2138 0.2413 0.6170  1 Pu 1.94
O: 0.2413 0.2138 0.1170  1 Pu 1.94
O: 0.3006 0.6854 0.0359  1 Pu 2.13, 1 Th 2.32
O: 0.3146 0.6994 0.4641  1 Pu 2.13, 1 Th 2.32
O: 0.6854 0.3006 0.5359  1 Pu 2.13, 1 Th 2.32
O: 0.6994 0.3146 0.9641  1 Pu 2.13, 1 Th 2.32
O: 0.7587 0.7862 0.8830  1 Pu 1.94
O: 0.7862 0.7587 0.3830  1 Pu 1.94
O: 0.8896 0.1104 0.2500  2 Pu 2.14

---

Compound: CdAgMo2
Source: the Alexandria database
Functional: PBE-GGA
Structure: relaxed

Values from the calculation:
SG = P4mm
N(E_F) = 1.469 states/eV/f.u.
E = -23.95 eV for the cell shown
energy of formation = 0.37 eV per atom

abc: 2.7305 2.7305 9.2430
angles: 90.00 90.00 90.00
With the nearest neighbours (Å) after each atom.
Atoms (fractional coordinates):
Cd: 0.0000 0.0000 0.0000  4 Cd 2.73, 4 Mo 3.04
Ag: 0.5000 0.5000 0.7430  4 Ag 2.73, 4 Mo 2.96
Mo: 0.0000 0.0000 0.5008  8 Mo 2.73-2.99, 4 Ag 2.96
Mo: 0.5000 0.5000 0.2543  8 Mo 2.73-2.99, 4 Cd 3.04

---

Compound: CaSmRhAu
Source: the Alexandria database
Functional: PBE-GGA
Structure: relaxed

Values from the calculation:
SG = F-43m
N(E_F) = 1.869 states/eV/f.u.
E = -20.02 eV for the cell shown
energy of formation = -0.67 eV per atom

abc: 5.0248 5.0248 5.0248
angles: 60.00 60.00 60.00
With the nearest neighbours (Å) after each atom.
Atoms (fractional coordinates):
Ca: 0.0000 0.0000 0.0000  4 Rh 3.08, 4 Au 3.08
Sm: 0.5000 0.5000 0.5000  4 Au 3.08, 4 Rh 3.08
Rh: 0.2500 0.2500 0.2500  4 Ca 3.08, 4 Sm 3.08
Au: 0.7500 0.7500 0.7500  4 Sm 3.08, 4 Ca 3.08

---

Compound: K2Cd4Ru
Source: the Alexandria database
Functional: PBE-GGA
Structure: relaxed

Values from the calculation:
SG = I4/mmm
N(E_F) = 3.713 states/eV/f.u.
E = -14.06 eV for the cell shown
energy of formation = 0.15 eV per atom

abc: 9.5331 9.5331 9.5331
angles: 147.73 147.73 46.28
With the nearest neighbours (Å) after each atom.
Atoms (fractional coordinates):
K: 0.1424 0.1424 0.0000  9 Cd 3.64-3.75
K: 0.8576 0.8576 0.0000  9 Cd 3.64-3.75
Cd: 0.0000 0.5000 0.5000  2 Ru 2.65
Cd: 0.3497 0.3497 0.0000  1 Ru 2.63
Cd: 0.5000 0.0000 0.5000  2 Ru 2.65
Cd: 0.6503 0.6503 0.0000  1 Ru 2.63
Ru: 0.5000 0.5000 0.0000  6 Cd 2.63-2.65

---

Compound: AlMo3I
Source: the Alexandria database
Functional: PBE-GGA
Structure: relaxed

Values from the calculation:
SG = Pm-3m
N(E_F) = 9.463 states/eV/f.u.
E = -29.09 eV for the cell shown

abc: 4.6753 4.6753 4.6753
angles: 90.00 90.00 90.00
With the nearest neighbours (Å) after each atom.
Atoms (fractional coordinates):
Al: 0.0000 0.0000 0.0000  6 Mo 2.34
Mo: 0.0000 0.0000 0.5000  2 Al 2.34
Mo: 0.0000 0.5000 0.0000  2 Al 2.34
Mo: 0.5000 0.0000 0.0000  2 Al 2.34
I: 0.5000 0.5000 0.5000  12 Mo 3.31

---

Compound: Th6Te3Ru2C
Source: the Alexandria database
Functional: PBE-GGA
Structure: relaxed

Values from the calculation:
SG = C2/m
N(E_F) = 4.181 states/eV/f.u.
E = -91.50 eV for the cell shown

abc: 7.1065 7.1065 7.9496
angles: 98.50 98.50 119.92
With the nearest neighbours (Å) after each atom.
Atoms (fractional coordinates):
Th: 0.0650 0.3848 0.1930  1 C 2.71, 2 Ru 2.82-2.84
Th: 0.2540 0.2540 0.8020  1 C 2.72, 2 Ru 2.84
Th: 0.3848 0.0650 0.1930  1 C 2.71, 2 Ru 2.82-2.84
Th: 0.6152 0.9350 0.8070  1 C 2.71, 2 Ru 2.82-2.84
Th: 0.7460 0.7460 0.1980  1 C 2.72, 2 Ru 2.84
Th: 0.9350 0.6152 0.8070  1 C 2.71, 2 Ru 2.82-2.84
Te: 0.1714 0.8286 0.5000  6 Th 3.29-3.36
Te: 0.5000 0.5000 0.5000  6 Th 3.29-3.36
Te: 0.8286 0.1714 0.5000  6 Th 3.29-3.36
Ru: 0.3339 0.6661 0.0000  6 Th 2.82-2.84
Ru: 0.6661 0.3339 0.0000  6 Th 2.82-2.84
C: 0.0000 0.0000 0.0000  6 Th 2.71-2.72